Arrangement A

Material: Ti5Cd
Method: DFT, PBE
State: optimized geometry

## Properties
* crystal system: monoclinic

Lattice parameters (Å, degrees): 10.9603 2.8928 6.9887 90.00 104.76 90.00
Space group Cm (No. 8)
One atom of each set of equivalent atoms:
Ti: 0.0000 0.0000 0.0000 (multiplicity 2)
Ti: 0.0486 0.0000 0.6137 (multiplicity 2)
Ti: 0.1491 0.5000 0.3251 (multiplicity 2)
Ti: 0.2190 0.5000 0.9657 (multiplicity 2)
Ti: 0.3875 0.0000 0.2723 (multiplicity 2)
Cd: 0.3209 0.0000 0.6597 (multiplicity 2)

=====

Arrangement B

Material: Ti5Cd
Method: DFT, PBE
State: optimized geometry

## Properties
* crystal system: orthorhombic

Lattice parameters (Å, degrees): 4.1961 12.2342 4.1519 90.00 90.00 90.00
Space group Cmmm (No. 65)
One atom of each set of equivalent atoms:
Ti: 0.0000 0.0000 0.0000 (multiplicity 2)
Ti: 0.0000 0.1703 0.5000 (multiplicity 4)
Ti: 0.0000 0.3269 0.0000 (multiplicity 4)
Cd: 0.0000 0.5000 0.5000 (multiplicity 2)

=====

Stability, highest: arrangement B